1 | Density functional theory data (PBE) for a relaxed KTlBr crystal.

a = 13.4128 Å, b = 6.1109 Å, c = 6.1088 Å
α = 90.00°, β = 90.00°, γ = 90.00°
Space group Amm2 (No. 38)
One atom of each set of equivalent atoms:
K  0.1854  0.0000  0.0000
Tl  0.0000  0.0000  0.5004
Tl  0.5000  0.0000  0.5039
Br  0.2554  0.0000  0.5002

Computed properties:
**Total magnetization**: 0.0 Bohr magnetons per cell

***

2 | Density functional theory data (PBE) for a relaxed KTlBr crystal.

a = 4.3338 Å, b = 4.3761 Å, c = 13.7733 Å
α = 90.00°, β = 90.00°, γ = 90.00°
Space group Imm2 (No. 44)
One atom of each set of equivalent atoms:
K  0.0000  0.0000  0.0000
Tl  0.0000  0.0000  0.3142
Br  0.0000  0.0000  0.5506

Computed properties:
**Total magnetization**: 0.0 Bohr magnetons per cell

***

Referenced to the most stable arrangement, the calculated values in eV/atom are 1 0.000; 2 0.057.

***

1 | Density functional theory data (PBE) for a relaxed K2TlBr crystal.

a = 4.9142 Å, b = 4.9142 Å, c = 13.6548 Å
α = 90.00°, β = 90.00°, γ = 90.00°
Space group I-4m2 (No. 119)
One atom of each set of equivalent atoms:
K  0.0000  0.0000  0.0000
K  0.0000  0.5000  0.2500
Tl  0.0000  0.5000  0.7500
Br  0.0000  0.0000  0.5000

Computed properties:
**Total magnetization**: 0.0 Bohr magnetons per cell

***

2 | Density functional theory data (PBE) for a relaxed K2TlBr crystal.

a = 8.6499 Å, b = 8.6499 Å, c = 8.6499 Å
α = 90.00°, β = 90.00°, γ = 90.00°
Space group Fm-3m (No. 225)
One atom of each set of equivalent atoms:
K  0.2500  0.2500  0.2500
Tl  0.0000  0.0000  0.0000
Br  0.0000  0.0000  0.5000

Computed properties:
**Total magnetization**: 0.0 Bohr magnetons per cell

***

Referenced to the most stable arrangement, the calculated values in eV/atom are 1 0.000; 2 0.075.

***

1 | Density functional theory data (PBE) for a relaxed K2TlBr3 crystal.

a = 8.0284 Å, b = 8.0284 Å, c = 24.3858 Å
α = 90.00°, β = 90.00°, γ = 120.00°
Space group R-3c (No. 167, hexagonal axes)
One atom of each set of equivalent atoms:
K  0.0000  0.0000  0.1651
Tl  0.0000  0.0000  0.0000
Br  0.0000  0.3296  0.2500

Computed properties:
**Total magnetization**: 0.0 Bohr magnetons per cell

***

2 | Density functional theory data (PBE) for a relaxed K2TlBr3 crystal.

a = 4.7406 Å, b = 6.6982 Å, c = 14.2528 Å
α = 90.00°, β = 90.00°, γ = 90.00°
Space group Immm (No. 71)
One atom of each set of equivalent atoms:
K  0.0000  0.0000  0.1656
Tl  0.0000  0.0000  0.5000
Br  0.0000  0.5000  0.1695
Br  0.0000  0.5000  0.5000

Computed properties:
**Total magnetization**: 0.0 Bohr magnetons per cell

***

Referenced to the most stable arrangement, the calculated values in eV/atom are 1 0.020; 2 0.000.

***

1 | Density functional theory data (PBE) for a relaxed KTl2Br4 crystal.

a = 7.8973 Å, b = 7.8973 Å, c = 5.3245 Å
α = 90.00°, β = 90.00°, γ = 90.00°
Space group P-42m (No. 111)
One atom of each set of equivalent atoms:
K  0.0000  0.0000  0.0000
Tl  0.0000  0.5000  0.5000
Br  0.2496  0.2496  0.2922

Computed properties:
**Total magnetization**: 0.0 Bohr magnetons per cell

***

2 | Density functional theory data (PBE) for a relaxed KTl2Br4 crystal.

a = 6.2344 Å, b = 6.2344 Å, c = 15.1623 Å
α = 90.00°, β = 90.00°, γ = 90.00°
Space group I4/mmm (No. 139)
One atom of each set of equivalent atoms:
K  0.0000  0.0000  0.0000
Tl  0.0000  0.0000  0.3948
Br  0.0000  0.0000  0.2145
Br  0.0000  0.5000  0.0000

Computed properties:
**Total magnetization**: 0.0 Bohr magnetons per cell

***

Referenced to the most stable arrangement, the calculated values in eV/atom are 1 0.000; 2 0.093.

***

1 | Density functional theory data (PBE) for a relaxed KTl2Br8 crystal.

a = 15.1764 Å, b = 10.5162 Å, c = 7.2389 Å
α = 90.00°, β = 114.72°, γ = 90.00°
Space group C2/m (No. 12)
One atom of each set of equivalent atoms:
K  0.0000  0.0000  0.0000
Tl  0.2150  0.0000  0.6341
Br  0.1074  0.5000  0.3448
Br  0.1123  0.1908  0.4073
Br  0.2243  0.0000  0.0006

Computed properties:
**Total magnetization**: 0.0 Bohr magnetons per cell

***

2 | Density functional theory data (PBE) for a relaxed KTl2Br8 crystal.

a = 16.8515 Å, b = 8.0093 Å, c = 7.4640 Å
α = 90.00°, β = 105.37°, γ = 90.00°
Space group C2/m (No. 12)
One atom of each set of equivalent atoms:
K  0.0000  0.0000  0.0000
Tl  0.1696  0.0000  0.6615
Br  0.0735  0.2529  0.7110
Br  0.1880  0.0000  0.3275
Br  0.1976  0.5000  0.0664

Computed properties:
**Total magnetization**: 2.1 Bohr magnetons per cell

***

Referenced to the most stable arrangement, the calculated values in eV/atom are 1 0.000; 2 0.006.

***

1 | Density functional theory data (PBE) for a relaxed K2TlBr4 crystal.

a = 8.2447 Å, b = 13.1292 Å, c = 4.7928 Å
α = 90.00°, β = 90.00°, γ = 90.00°
Space group Pbam (No. 55)
One atom of each set of equivalent atoms:
K  0.0885  0.1841  0.0000
Tl  0.0000  0.5000  0.5000
Br  0.1348  0.7095  0.5000
Br  0.2250  0.4484  0.0000

Computed properties:
**Total magnetization**: 0.0 Bohr magnetons per cell

***

2 | Density functional theory data (PBE) for a relaxed K2TlBr4 crystal.

a = 5.7469 Å, b = 5.7469 Å, c = 17.0882 Å
α = 90.00°, β = 90.00°, γ = 90.00°
Space group I4/mmm (No. 139)
One atom of each set of equivalent atoms:
K  0.0000  0.0000  0.1389
Tl  0.0000  0.0000  0.5000
Br  0.0000  0.0000  0.3260
Br  0.0000  0.5000  0.0000

Computed properties:
**Total magnetization**: 0.0 Bohr magnetons per cell

***

3 | Density functional theory data (PBE) for a relaxed K2TlBr4 crystal.

a = 8.1497 Å, b = 7.9227 Å, c = 9.1575 Å
α = 90.00°, β = 106.67°, γ = 90.00°
Space group P2_1/m (No. 11)
One atom of each set of equivalent atoms:
K  0.2113  0.2500  0.0615
K  0.2170  0.2500  0.5472
Tl  0.2645  0.7500  0.8163
Br  0.0060  0.0112  0.7511
Br  0.4648  0.7500  0.6113
Br  0.4832  0.7500  0.1199

Computed properties:
**Total magnetization**: 0.0 Bohr magnetons per cell

***

Referenced to the most stable arrangement, the calculated values in eV/atom are 1 0.000; 2 0.036; 3 0.054.

***

1 | Density functional theory data (PBE) for a relaxed K3TlBr6 crystal.

a = 7.8809 Å, b = 8.4384 Å, c = 13.4869 Å
α = 90.00°, β = 123.86°, γ = 90.00°
Space group P2_1/c (No. 14)
One atom of each set of equivalent atoms:
K  0.0000  0.0000  0.0000
K  0.2088  0.0806  0.7407
Tl  0.5000  0.0000  0.5000
Br  0.1575  0.1771  0.4443
Br  0.2550  0.7222  0.4207
Br  0.4075  0.0588  0.2712

Computed properties:
**Total magnetization**: 0.0 Bohr magnetons per cell

***

2 | Density functional theory data (PBE) for a relaxed K3TlBr6 crystal.

a = 11.7441 Å, b = 11.7441 Å, c = 11.7441 Å
α = 90.00°, β = 90.00°, γ = 90.00°
Space group Fm-3m (No. 225)
One atom of each set of equivalent atoms:
K  0.0000  0.0000  0.0000
K  0.2500  0.2500  0.2500
Tl  0.0000  0.0000  0.5000
Br  0.0000  0.0000  0.2643

Computed properties:
**Total magnetization**: 0.0 Bohr magnetons per cell

***

Referenced to the most stable arrangement, the calculated values in eV/atom are 1 0.000; 2 0.079.

***

1 | Density functional theory data (PBE) for a relaxed K2YTlBr6 crystal.

a = 11.9266 Å, b = 11.9266 Å, c = 11.9266 Å
α = 90.00°, β = 90.00°, γ = 90.00°
Space group Fm-3m (No. 225)
One atom of each set of equivalent atoms:
K  0.2500  0.2500  0.2500
Y  0.0000  0.0000  0.0000
Tl  0.0000  0.0000  0.5000
Br  0.0000  0.0000  0.2340

Computed properties:
**Total magnetization**: 0.0 Bohr magnetons per cell

***

2 | Density functional theory data (PBE) for a relaxed K2YTlBr6 crystal.

a = 8.1084 Å, b = 8.1084 Å, c = 21.0764 Å
α = 90.00°, β = 90.00°, γ = 120.00°
Space group R3 (No. 146, hexagonal axes)
One atom of each set of equivalent atoms:
K  0.0000  0.0000  0.0000
K  0.0000  0.0000  0.4887
Y  0.0000  0.0000  0.6952
Tl  0.0000  0.0000  0.2053
Br  0.0232  0.3976  0.4339
Br  0.0678  0.6859  0.2787

Computed properties:
**Total magnetization**: 0.0 Bohr magnetons per cell

***

Referenced to the most stable arrangement, the calculated values in eV/atom are 1 0.080; 2 0.000.

***

1 | Density functional theory data (PBE) for a relaxed KV3Br crystal.

a = 4.4818 Å, b = 4.4818 Å, c = 4.4818 Å
α = 90.00°, β = 90.00°, γ = 90.00°
Space group Pm-3m (No. 221)
One atom of each set of equivalent atoms:
K  0.0000  0.0000  0.0000
V  0.0000  0.0000  0.5000
Br  0.5000  0.5000  0.5000

Computed properties:
**Total magnetization**: 0.0 Bohr magnetons per cell

***

2 | Density functional theory data (PBE) for a relaxed KV3Br crystal.

a = 4.7655 Å, b = 4.7655 Å, c = 4.7655 Å
α = 90.00°, β = 90.00°, γ = 90.00°
Space group Pm-3m (No. 221)
One atom of each set of equivalent atoms:
K  0.0000  0.0000  0.0000
V  0.0000  0.5000  0.5000
Br  0.5000  0.5000  0.5000

Computed properties:
**Total magnetization**: 4.7 Bohr magnetons per cell

***

Referenced to the most stable arrangement, the calculated values in eV/atom are 1 1.342; 2 0.000.

***

1 | Density functional theory data (PBE) for a relaxed K2WBr crystal.

a = 4.8814 Å, b = 4.8814 Å, c = 12.9120 Å
α = 90.00°, β = 90.00°, γ = 90.00°
Space group I-4m2 (No. 119)
One atom of each set of equivalent atoms:
K  0.0000  0.0000  0.0000
K  0.0000  0.5000  0.2500
W  0.0000  0.5000  0.7500
Br  0.0000  0.0000  0.5000

Computed properties:
**Total magnetization**: 10.0 Bohr magnetons per cell

***

2 | Density functional theory data (PBE) for a relaxed K2WBr crystal.

a = 12.9770 Å, b = 3.9604 Å, c = 5.8482 Å
α = 90.00°, β = 90.18°, γ = 90.00°
Space group Cm (No. 8)
One atom of each set of equivalent atoms:
K  0.0000  0.0000  0.0000
K  0.2489  0.0000  0.4979
W  0.2330  0.5000  0.9975
Br  0.0252  0.5000  0.4995

Computed properties:
**Total magnetization**: 10.0 Bohr magnetons per cell

***

Referenced to the most stable arrangement, the calculated values in eV/atom are 1 0.080; 2 0.000.

***

1 | Density functional theory data (PBE) for a relaxed K2WBr crystal.

a = 12.2899 Å, b = 12.2899 Å, c = 4.8425 Å
α = 90.00°, β = 90.00°, γ = 90.00°
Space group I-42d (No. 122)
One atom of each set of equivalent atoms:
K  0.0858  0.2500  0.1250
W  0.0000  0.0000  0.5000
Br  0.0000  0.0000  0.0000

Computed properties:
**Total magnetization**: 10.6 Bohr magnetons per cell

***

2 | Density functional theory data (PBE) for a relaxed K2WBr crystal.

a = 4.8855 Å, b = 4.9912 Å, c = 7.0902 Å
α = 90.00°, β = 90.00°, γ = 90.00°
Space group Pmm2 (No. 25)
One atom of each set of equivalent atoms:
K  0.0000  0.0000  0.0000
K  0.5000  0.5000  0.4991
W  0.0000  0.0000  0.5002
Br  0.5000  0.5000  0.9994

Computed properties:
**Total magnetization**: 5.0 Bohr magnetons per cell

***

3 | Density functional theory data (PBE) for a relaxed K2WBr crystal.

a = 6.0841 Å, b = 6.0841 Å, c = 3.8457 Å
α = 90.00°, β = 90.00°, γ = 90.00°
Space group P4/mmm (No. 123)
One atom of each set of equivalent atoms:
K  0.0000  0.5000  0.0000
W  0.0000  0.0000  0.5000
Br  0.5000  0.5000  0.5000

Computed properties:
**Total magnetization**: 5.0 Bohr magnetons per cell

***

4 | Density functional theory data (PBE) for a relaxed K2WBr crystal.

a = 3.7946 Å, b = 3.7946 Å, c = 9.2031 Å
α = 90.00°, β = 90.00°, γ = 90.00°
Space group P4/mmm (No. 123)
One atom of each set of equivalent atoms:
K  0.0000  0.0000  0.2192
W  0.5000  0.5000  0.5000
Br  0.5000  0.5000  0.0000

Computed properties:
**Total magnetization**: 4.9 Bohr magnetons per cell

***

Referenced to the most stable arrangement, the calculated values in eV/atom are 1 0.306; 2 0.143; 3 0.098; 4 0.000.